[1]
GGA-PBEsol FeGeN2F, optimized geometry; space-group type = P4/mmm, No. 123; E_form (uncorrected) = 0.156 eV/atom
1.0
-3.444 0.967 -0.523
-0.689 -0.558 3.505
0.949 3.808 0.792
Fe Ge F N
1 1 1 2
Direct
0.000 0.000 0.000
0.500 0.500 0.500
0.000 0.000 0.500
0.000 0.500 0.000
0.500 0.000 0.000

[2]
GGA-PBEsol K4Na2FeH3F12, optimized geometry; space-group type = P2, No. 3
1.0
5.730 0.000 -0.003
0.000 5.891 0.000
-0.586 0.000 8.326
K H F Na Fe
4 3 12 2 1
Direct
0.482 0.982 0.271
0.059 0.500 0.757
0.518 0.982 0.729
0.941 0.500 0.243
0.500 0.759 0.000
0.368 0.393 0.129
0.632 0.393 0.871
0.472 0.478 0.238
0.300 0.775 0.987
0.770 0.762 0.494
0.252 0.293 0.040
0.748 0.293 0.960
0.990 0.987 0.276
0.771 0.210 0.494
0.010 0.987 0.724
0.230 0.762 0.506
0.229 0.210 0.506
0.700 0.775 0.013
0.528 0.478 0.762
0.500 0.484 0.500
0.000 0.010 0.000
0.000 0.987 0.500

[3]
GGA-PBEsol MnFeH4O2F5, optimized geometry; space-group type = Imma, No. 74
1.0
-5.873 0.952 -2.035
-1.266 -1.953 -6.976
-3.921 -6.094 -1.251
F O H Fe Mn
10 4 8 2 2
Direct
0.429 0.250 0.250
0.413 0.836 0.406
0.587 0.164 0.594
0.155 0.094 0.664
0.845 0.906 0.336
0.155 0.664 0.094
0.571 0.750 0.750
0.587 0.594 0.164
0.845 0.336 0.906
0.413 0.406 0.836
0.242 0.061 0.061
0.137 0.561 0.561
0.758 0.939 0.939
0.863 0.439 0.439
0.298 0.193 0.979
0.702 0.021 0.807
0.030 0.693 0.479
0.030 0.479 0.693
0.970 0.307 0.521
0.702 0.807 0.021
0.970 0.521 0.307
0.298 0.979 0.193
0.500 0.500 0.000
0.500 0.000 0.500
0.500 0.500 0.500
0.000 0.000 0.000

[4]
GGA-PBEsol NaFeH8N2F6, optimized geometry; space-group type = Fm-3m, No. 225
1.0
-0.591 -4.210 -4.105
4.533 -1.318 -3.555
2.838 -5.147 0.616
H F N Fe Na
8 6 2 1 1
Direct
0.179 0.179 0.179
0.821 0.536 0.821
0.179 0.464 0.179
0.464 0.179 0.179
0.179 0.179 0.464
0.821 0.821 0.536
0.536 0.821 0.821
0.821 0.821 0.821
0.778 0.222 0.778
0.778 0.222 0.222
0.778 0.778 0.222
0.222 0.222 0.778
0.222 0.778 0.222
0.222 0.778 0.778
0.250 0.250 0.250
0.750 0.750 0.750
0.000 0.000 0.000
0.500 0.500 0.500

| no. | total energy (eV per atom) |
| --- | --- |
| 1 | -6.42 |
| 2 | -4.63 |
| 3 | -5.68 |
| 4 | -5.03 |